1.
## BeTl2Cr (meta-GGA SCAN)

Data for a crystal of BeTl2Cr relaxed with PBEsol.

Output
VASP energy, eV/cell: -165.25
Mass density, Mg/m³: 10.659
DOS at the Fermi energy, states/eV/cell: 1.5
Symmetry: P4/mmm (123)

```
data_BeTl2Cr
_cell_length_a 3.393
_cell_length_b 3.391
_cell_length_c 6.362
_cell_angle_alpha 90.00
_cell_angle_beta 90.00
_cell_angle_gamma 90.00
_space_group_name_H-M_alt 'P 1'
_space_group_IT_number 1
loop_
_space_group_symop_operation_xyz
'x,y,z'
loop_
_atom_site_label
_atom_site_fract_x
_atom_site_fract_y
_atom_site_fract_z
Be1 0.500 0.500 0.000
Tl1 0.000 0.000 0.237
Cr1 0.500 0.500 0.500
Tl2 0.000 0.000 0.763
```

2.
## SiTcAg2 (meta-GGA SCAN)

Data for a crystal of SiTcAg2 relaxed with PBEsol.

Output
Mass density, Mg/m³: 9.193
DOS at the Fermi energy, states/eV/cell: 2.4
Symmetry: P4/mmm (123)
Formation energy without anion corrections, eV per atom: 0.54

```
data_SiTcAg2
_cell_length_a 2.645
_cell_length_b 2.645
_cell_length_c 8.827
_cell_angle_alpha 90.00
_cell_angle_beta 90.00
_cell_angle_gamma 90.00
_space_group_name_H-M_alt 'P 1'
_space_group_IT_number 1
loop_
_space_group_symop_operation_xyz
'x,y,z'
loop_
_atom_site_label
_atom_site_fract_x
_atom_site_fract_y
_atom_site_fract_z
Tc1 0.500 0.500 0.500
Ag1 0.000 0.000 0.749
Ag2 0.000 0.000 0.251
Si1 0.500 0.500 0.000
```

3.
## LiAgRh2 (meta-GGA SCAN)

Data for a crystal of LiAgRh2 relaxed with PBEsol.

Output
VASP energy, eV/cell: -100.10
Mass density, Mg/m³: 9.556
DOS at the Fermi energy, states/eV/cell: 3.5
Symmetry: Fm-3m (225)

```
data_LiAgRh2
_cell_length_a 4.287
_cell_length_b 4.287
_cell_length_c 4.287
_cell_angle_alpha 60.00
_cell_angle_beta 60.00
_cell_angle_gamma 60.00
_space_group_name_H-M_alt 'P 1'
_space_group_IT_number 1
loop_
_space_group_symop_operation_xyz
'x,y,z'
loop_
_atom_site_label
_atom_site_fract_x
_atom_site_fract_y
_atom_site_fract_z
Rh1 0.250 0.250 0.250
Ag1 0.000 0.000 0.000
Rh2 0.750 0.750 0.750
Li1 0.500 0.500 0.500
```

4.
## SbIrRh2 (meta-GGA SCAN)

Data for a crystal of SbIrRh2 relaxed with PBEsol.

Output
Mass density, Mg/m³: 14.223
DOS at the Fermi energy, states/eV/cell: 3.2
Symmetry: P2/m (10)
Formation energy without anion corrections, eV per atom: 0.02

```
data_SbIrRh2
_cell_length_a 2.920
_cell_length_b 4.640
_cell_length_c 4.707
_cell_angle_alpha 107.90
_cell_angle_beta 90.00
_cell_angle_gamma 90.00
_space_group_name_H-M_alt 'P 1'
_space_group_IT_number 1
loop_
_space_group_symop_operation_xyz
'x,y,z'
loop_
_atom_site_label
_atom_site_fract_x
_atom_site_fract_y
_atom_site_fract_z
Rh1 0.000 0.000 0.000
Sb1 0.500 0.500 0.000
Rh2 0.500 0.000 0.500
Ir1 0.000 0.500 0.500
```

5.
## YTiNi2 (meta-GGA SCAN)

Data for a crystal of YTiNi2 relaxed with PBEsol.

Output
VASP energy, eV/cell: -77.10
Mass density, Mg/m³: 6.721
DOS at the Fermi energy, states/eV/cell: 3.9
Symmetry: Fm-3m (225)

```
data_YTiNi2
_cell_length_a 4.461
_cell_length_b 4.461
_cell_length_c 4.461
_cell_angle_alpha 60.00
_cell_angle_beta 60.00
_cell_angle_gamma 60.00
_space_group_name_H-M_alt 'P 1'
_space_group_IT_number 1
loop_
_space_group_symop_operation_xyz
'x,y,z'
loop_
_atom_site_label
_atom_site_fract_x
_atom_site_fract_y
_atom_site_fract_z
Ti1 0.000 0.000 0.000
Ni1 0.250 0.250 0.250
Ni2 0.750 0.750 0.750
Y1 0.500 0.500 0.500
```

6.
## Cs3YO3 (meta-GGA SCAN)

Data for a crystal of Cs3YO3 relaxed with PBEsol.

Output
Mass density, Mg/m³: 4.855
DOS at the Fermi energy, states/eV/cell: 0.0
Symmetry: C2/m (12)
Formation energy without anion corrections, eV per atom: -2.13

```
data_Cs3YO3
_cell_length_a 7.427
_cell_length_b 7.427
_cell_length_c 7.551
_cell_angle_alpha 95.64
_cell_angle_beta 95.64
_cell_angle_gamma 116.45
_space_group_name_H-M_alt 'P 1'
_space_group_IT_number 1
loop_
_space_group_symop_operation_xyz
'x,y,z'
loop_
_atom_site_label
_atom_site_fract_x
_atom_site_fract_y
_atom_site_fract_z
O1 0.894 0.894 0.140
Y1 0.827 0.827 0.847
Cs1 0.645 0.645 0.354
O2 0.165 0.439 0.268
Cs2 0.738 0.262 0.000
O3 0.439 0.165 0.268
O4 0.835 0.561 0.732
Cs3 0.355 0.355 0.646
Cs4 0.262 0.738 0.000
O5 0.106 0.106 0.860
O6 0.561 0.835 0.732
Cs5 0.788 0.212 0.500
Y2 0.173 0.173 0.153
Cs6 0.212 0.788 0.500
```

7.
## PdRhF2 (meta-GGA SCAN)

Data for a crystal of PdRhF2 relaxed with PBEsol.

Output
Mass density, Mg/m³: 8.525
DOS at the Fermi energy, states/eV/cell: 3.7
Symmetry: Fm-3m (225)
Formation energy without anion corrections, eV per atom: -0.24

```
data_PdRhF2
_cell_length_a 4.084
_cell_length_b 4.084
_cell_length_c 4.084
_cell_angle_alpha 60.00
_cell_angle_beta 60.00
_cell_angle_gamma 60.00
_space_group_name_H-M_alt 'P 1'
_space_group_IT_number 1
loop_
_space_group_symop_operation_xyz
'x,y,z'
loop_
_atom_site_label
_atom_site_fract_x
_atom_site_fract_y
_atom_site_fract_z
F1 0.250 0.250 0.250
Rh1 0.000 0.000 0.000
Pd1 0.500 0.500 0.500
F2 0.750 0.750 0.750
```

8.
## AgSbOF2 (meta-GGA SCAN)

Data for a crystal of AgSbOF2 relaxed with PBEsol.

Output
Mass density, Mg/m³: 5.774
DOS at the Fermi energy, states/eV/cell: 0.8
Symmetry: P4/mmm (123)
Formation energy without anion corrections, eV per atom: -1.17

```
data_AgSbOF2
_cell_length_a 4.220
_cell_length_b 4.396
_cell_length_c 4.396
_cell_angle_alpha 90.00
_cell_angle_beta 90.00
_cell_angle_gamma 90.00
_space_group_name_H-M_alt 'P 1'
_space_group_IT_number 1
loop_
_space_group_symop_operation_xyz
'x,y,z'
loop_
_atom_site_label
_atom_site_fract_x
_atom_site_fract_y
_atom_site_fract_z
F1 0.000 0.500 0.000
O1 0.500 0.000 0.000
Sb1 0.000 0.000 0.000
Ag1 0.500 0.500 0.500
F2 0.000 0.000 0.500
```

9.
## RbCdBr3 (meta-GGA SCAN)

Data for a crystal of RbCdBr3 relaxed with PBEsol.

Output
Mass density, Mg/m³: 4.745
DOS at the Fermi energy, states/eV/cell: 0.0
Symmetry: Pnma (62)
Formation energy without anion corrections, eV per atom: -1.40

```
data_RbCdBr3
_cell_length_a 4.192
_cell_length_b 9.333
_cell_length_c 15.656
_cell_angle_alpha 90.00
_cell_angle_beta 90.00
_cell_angle_gamma 90.00
_space_group_name_H-M_alt 'P 1'
_space_group_IT_number 1
loop_
_space_group_symop_operation_xyz
'x,y,z'
loop_
_atom_site_label
_atom_site_fract_x
_atom_site_fract_y
_atom_site_fract_z
Br1 0.250 0.286 0.210
Br2 0.750 0.214 0.710
Br3 0.750 0.472 0.399
Br4 0.750 0.972 0.101
Cd1 0.750 0.335 0.557
Br5 0.250 0.786 0.290
Rb1 0.750 0.571 0.174
Br6 0.750 0.834 0.504
Br7 0.750 0.334 0.996
Br8 0.750 0.714 0.790
Br9 0.250 0.166 0.496
Cd2 0.250 0.665 0.443
Cd3 0.750 0.835 0.943
Br10 0.250 0.666 0.004
Rb2 0.750 0.071 0.326
Br11 0.250 0.028 0.899
Rb3 0.250 0.929 0.674
Cd4 0.250 0.165 0.057
Rb4 0.250 0.429 0.826
Br12 0.250 0.528 0.601
```

10.
## BaTaRe (meta-GGA SCAN)

Data for a crystal of BaTaRe relaxed with PBEsol.

Output
VASP energy, eV/cell: -168.34
Mass density, Mg/m³: 12.251
DOS at the Fermi energy, states/eV/cell: 4.2
Symmetry: F-43m (216)

```
data_BaTaRe
_cell_length_a 4.590
_cell_length_b 4.590
_cell_length_c 4.590
_cell_angle_alpha 60.00
_cell_angle_beta 60.00
_cell_angle_gamma 60.00
_space_group_name_H-M_alt 'P 1'
_space_group_IT_number 1
loop_
_space_group_symop_operation_xyz
'x,y,z'
loop_
_atom_site_label
_atom_site_fract_x
_atom_site_fract_y
_atom_site_fract_z
Ba1 0.250 0.250 0.250
Re1 0.000 0.000 0.000
Ta1 0.500 0.500 0.500
```

11.
## CrRe2Cl (meta-GGA SCAN)

Data for a crystal of CrRe2Cl relaxed with PBEsol.

Output
Mass density, Mg/m³: 14.089
DOS at the Fermi energy, states/eV/cell: 2.4
Symmetry: P4/mmm (123)
Formation energy without anion corrections, eV per atom: 0.66

```
data_CrRe2Cl
_cell_length_a 2.870
_cell_length_b 2.870
_cell_length_c 6.578
_cell_angle_alpha 90.00
_cell_angle_beta 90.00
_cell_angle_gamma 90.00
_space_group_name_H-M_alt 'P 1'
_space_group_IT_number 1
loop_
_space_group_symop_operation_xyz
'x,y,z'
loop_
_atom_site_label
_atom_site_fract_x
_atom_site_fract_y
_atom_site_fract_z
Cl1 0.500 0.500 0.000
Cr1 0.500 0.500 0.500
Re1 0.000 0.000 0.731
Re2 0.000 0.000 0.269
```

12.
## LaSb2TeRu (meta-GGA SCAN)

Data for a crystal of LaSb2TeRu relaxed with PBEsol.

Output
Mass density, Mg/m³: 5.007
DOS at the Fermi energy, states/eV/cell: 4.2
Symmetry: P4/mmm (123)
Formation energy without anion corrections, eV per atom: 1.22

```
data_LaSb2TeRu
_cell_length_a 5.890
_cell_length_b 5.866
_cell_length_c 5.866
_cell_angle_alpha 90.00
_cell_angle_beta 90.00
_cell_angle_gamma 90.00
_space_group_name_H-M_alt 'P 1'
_space_group_IT_number 1
loop_
_space_group_symop_operation_xyz
'x,y,z'
loop_
_atom_site_label
_atom_site_fract_x
_atom_site_fract_y
_atom_site_fract_z
Sb1 0.000 0.000 0.500
Sb2 0.000 0.500 0.000
Te1 0.500 0.000 0.000
La1 0.000 0.000 0.000
Ru1 0.500 0.500 0.500
```

Q: mass density of number 7 (PdRhF2)?
A: 8.525 Mg/m³

Repeat the first record exactly.
## BeTl2Cr (meta-GGA SCAN)

Data for a crystal of BeTl2Cr relaxed with PBEsol.

Output
VASP energy, eV/cell: -165.25
Mass density, Mg/m³: 10.659
DOS at the Fermi energy, states/eV/cell: 1.5
Symmetry: P4/mmm (123)

```
data_BeTl2Cr
_cell_length_a 3.393
_cell_length_b 3.391
_cell_length_c 6.362
_cell_angle_alpha 90.00
_cell_angle_beta 90.00
_cell_angle_gamma 90.00
_space_group_name_H-M_alt 'P 1'
_space_group_IT_number 1
loop_
_space_group_symop_operation_xyz
'x,y,z'
loop_
_atom_site_label
_atom_site_fract_x
_atom_site_fract_y
_atom_site_fract_z
Be1 0.500 0.500 0.000
Tl1 0.000 0.000 0.237
Cr1 0.500 0.500 0.500
Tl2 0.000 0.000 0.763
```